This record from Alexandria via LeMat-Bulk describes a relaxed structure of TaMnSeBr2. The functional is PBE.

a b c (Å): 5.199 5.199 5.047
angles (deg): 90.00 90.00 90.00
Space group P4/mmm (No. 123)
One atom of each set of equivalent atoms:
Ta1 0.000 0.000 0.000 x1
Mn1 0.500 0.500 0.500 x1
Se1 0.000 0.000 0.500 x1
Br1 0.000 0.500 0.000 x2

Calculated values
Total DFT energy (no corrections), eV/f.u.: -26.61
D(E_F), states/eV/f.u.: 4.5
Crystal system: tetragonal
Formation energy from raw total energies, kJ/mol of formula units: 119.7